# 1
Computed, not measured: a relaxed Li9LaMg3 crystal at the PBE level of DFT.

Computed properties:
Crystal system = monoclinic
Energy = -2.057 eV/atom
Energy of formation from the pure elements = 0.02 eV per atom
Mass density = 1.5 Mg/m³

a b c (Å): 7.6744 7.6744 7.5344
angles (deg): 97.48 97.48 134.85
With the nearest neighbours (Å) after each atom.
Positions (direct):
Li 0.0000 0.0000 0.0000  8 Li 2.83-3.16, 2 Mg 2.95
Li 0.0074 0.7947 0.2828  3 Li 2.83-3.08, 3 Mg 2.93-3.00
Li 0.1576 0.5135 0.1454  5 Li 2.91-3.23, 3 Mg 3.04-3.12
Li 0.2053 0.9926 0.7172  3 Li 2.83-3.08, 3 Mg 2.93-3.00
Li 0.4865 0.8424 0.8546  5 Li 2.91-3.23, 3 Mg 3.04-3.12
Li 0.5135 0.1576 0.1454  5 Li 2.91-3.23, 3 Mg 3.04-3.12
Li 0.7947 0.0074 0.2828  3 Li 2.83-3.08, 3 Mg 2.93-3.00
Li 0.8424 0.4865 0.8546  5 Li 2.91-3.23, 3 Mg 3.04-3.12
Li 0.9926 0.2053 0.7172  3 Li 2.83-3.08, 3 Mg 2.93-3.00
La 0.5000 0.5000 0.5000  14 Li 3.56-3.92, 6 Mg 3.77-3.84
Mg 0.0000 0.5000 0.5000  8 Li 2.93-3.12, 2 Mg 2.95
Mg 0.5000 0.0000 0.5000  8 Li 2.93-3.12, 2 Mg 2.95
Mg 0.5000 0.5000 0.0000  10 Li 2.95-3.04

***

# 2
Computed, not measured: a relaxed Nd3Sm2Zn2 crystal at the PBE level of DFT.

Computed properties:
Crystal system = monoclinic
Energy = -3.880 eV/atom
Energy of formation from the pure elements = -0.12 eV per atom
Mass density = 6.9 Mg/m³

a b c (Å): 6.7668 6.7668 9.4402
angles (deg): 114.81 114.81 32.49
With the nearest neighbours (Å) after each atom.
Positions (direct):
Nd 0.0000 0.0000 0.0000  4 Zn 3.03
Nd 0.1100 0.1100 0.4387  3 Zn 3.14-3.16
Nd 0.8900 0.8900 0.5613  3 Zn 3.14-3.16
Sm 0.3466 0.3466 0.1840  2 Zn 3.07
Sm 0.6534 0.6534 0.8160  2 Zn 3.07
Zn 0.3231 0.3231 0.7725  5 Nd 3.03-3.16, 2 Sm 3.07
Zn 0.6769 0.6769 0.2275  5 Nd 3.03-3.16, 2 Sm 3.07

***

# 3
Computed, not measured: a relaxed La2HoPu crystal at the PBE level of DFT.

Computed properties:
Crystal system = trigonal
Energy = -7.066 eV/atom
Energy of formation from the pure elements = 0.13 eV per atom
Mass density = 8.6 Mg/m³

a b c (Å): 11.8187 11.8187 11.8187
angles (deg): 17.62 17.62 17.62
With the nearest neighbours (Å) after each atom.
Positions (direct):
La 0.0000 0.0000 0.0000  3 Pu 3.57, 6 La 3.62, 3 Ho 3.63
La 0.1694 0.1694 0.1694  3 Pu 3.52, 3 Ho 3.61, 6 La 3.62
Ho 0.7518 0.7518 0.7518  6 La 3.61-3.63, 6 Ho 3.62
Pu 0.5838 0.5838 0.5838  6 La 3.52-3.57, 6 Pu 3.62

***

# 4
Computed, not measured: a relaxed AgPtCl2 crystal at the PBE level of DFT.

Computed properties:
Crystal system = trigonal
Energy relative to the elements, uncorrected = 0.21 eV per atom
Energy = -2.932 eV/atom
Mass density = 7.9 Mg/m³

a b c (Å): 5.8126 5.8126 5.8126
angles (deg): 41.79 41.79 41.79
With the nearest neighbours (Å) after each atom.
Positions (direct):
Ag 0.0000 0.0000 0.0000  6 Cl 2.83
Pt 0.5000 0.5000 0.5000  6 Cl 2.65
Cl 0.2386 0.2386 0.2386  3 Pt 2.65, 3 Ag 2.83
Cl 0.7614 0.7614 0.7614  3 Pt 2.65, 3 Ag 2.83

***

# 5
Computed, not measured: a relaxed ZrTe3Rh crystal at the PBE level of DFT.

Computed properties:
Crystal system = cubic
Energy relative to the elements, uncorrected = 0.25 eV per atom
Energy = -4.811 eV/atom
Mass density = 7.0 Mg/m³

a b c (Å): 5.1550 5.1550 5.1550
angles (deg): 90.00 90.00 90.00
With the nearest neighbours (Å) after each atom.
Positions (direct):
Zr 0.0000 0.0000 0.0000  12 Te 3.65
Te 0.0000 0.5000 0.5000  2 Rh 2.58
Te 0.5000 0.0000 0.5000  2 Rh 2.58
Te 0.5000 0.5000 0.0000  2 Rh 2.58
Rh 0.5000 0.5000 0.5000  6 Te 2.58

***

# 6
Computed, not measured: a relaxed MnNb2Mo6 crystal at the PBE level of DFT.

Computed properties:
Crystal system = triclinic
Energy = -10.220 eV/atom
Energy of formation from the pure elements = 0.26 eV per atom
Mass density = 9.1 Mg/m³

a b c (Å): 4.9385 5.0309 6.5281
angles (deg): 101.06 110.28 92.50
With the nearest neighbours (Å) after each atom.
Positions (direct):
Mn 0.0000 0.0000 0.0000  2 Mo 2.42
Nb 0.3921 0.9253 0.7847  1 Nb 2.58, 2 Mo 2.59-2.87, 2 Mn 2.76-2.81
Nb 0.6079 0.0747 0.2153  1 Nb 2.58, 2 Mo 2.59-2.87, 2 Mn 2.76-2.81
Mo 0.1682 0.8597 0.3528  1 Mn 2.42, 1 Mo 2.54, 1 Nb 2.59
Mo 0.2643 0.4918 0.0174  2 Mo 2.42-2.55
Mo 0.2665 0.3689 0.5202  3 Mo 2.54-2.83
Mo 0.7335 0.6311 0.4798  3 Mo 2.54-2.83
Mo 0.7357 0.5082 0.9826  2 Mo 2.42-2.55
Mo 0.8318 0.1403 0.6472  1 Mn 2.42, 1 Mo 2.54, 1 Nb 2.59

***

# 7
Computed, not measured: a relaxed Ta2CuRu crystal at the PBE level of DFT.

Computed properties:
Crystal system = tetragonal
Energy = -9.333 eV/atom
Energy of formation from the pure elements = -0.06 eV per atom
Mass density = 13.9 Mg/m³

a b c (Å): 3.0448 3.0448 6.7712
angles (deg): 90.00 90.00 90.00
With the nearest neighbours (Å) after each atom.
Positions (direct):
Ta 0.0000 0.0000 0.2494  4 Cu 2.74, 4 Ru 2.74, 4 Ta 3.04
Ta 0.0000 0.0000 0.7506  4 Cu 2.74, 4 Ru 2.74, 4 Ta 3.04
Cu 0.5000 0.5000 0.0000  8 Ta 2.74, 4 Cu 3.04
Ru 0.5000 0.5000 0.5000  8 Ta 2.74, 4 Ru 3.04

***

# 8
Computed, not measured: a relaxed Ce2DyHfAs4 crystal at the PBE level of DFT.

Computed properties:
Crystal system = monoclinic
Energy = -6.976 eV/atom
Energy of formation from the pure elements = -1.35 eV per atom
Mass density = 7.9 Mg/m³

a b c (Å): 7.0771 4.0826 7.0829
angles (deg): 90.00 109.36 90.00
With the nearest neighbours (Å) after each atom.
Positions (direct):
Ce 0.0000 0.0000 0.0000  6 As 2.99
Ce 0.5000 0.5000 0.0000  6 As 2.91
Dy 0.0000 0.5000 0.5000  6 As 2.87
Hf 0.5000 0.0000 0.5000  6 As 2.78-2.79
As 0.2556 0.0000 0.7372  1 Hf 2.78, 2 Dy 2.87, 3 Ce 2.91-2.99
As 0.2653 0.5000 0.2688  2 Hf 2.79, 1 Dy 2.87, 3 Ce 2.91-2.99
As 0.7347 0.5000 0.7312  2 Hf 2.79, 1 Dy 2.87, 3 Ce 2.91-2.99
As 0.7444 0.0000 0.2628  1 Hf 2.78, 2 Dy 2.87, 3 Ce 2.91-2.99

***

# 9
Computed, not measured: a relaxed CsVIrRu2 crystal at the PBE level of DFT.

Computed properties:
Crystal system = tetragonal
Energy = -4.491 eV/atom
Energy of formation from the pure elements = 2.99 eV per atom
Mass density = 8.2 Mg/m³

a b c (Å): 4.8571 4.8571 4.9881
angles (deg): 90.00 90.00 90.00
With the nearest neighbours (Å) after each atom.
Positions (direct):
Cs 0.0000 0.0000 0.0000  4 Ru 2.43, 2 Ir 2.49
V 0.5000 0.5000 0.5000  4 Ir 3.43, 8 Ru 3.48
Ir 0.0000 0.0000 0.5000  2 Cs 2.49
Ru 0.0000 0.5000 0.0000  2 Cs 2.43
Ru 0.5000 0.0000 0.0000  2 Cs 2.43